No. 1
Entry from Alexandria via LeMat-Bulk: a relaxed structure of BaZn2Ni (PBE-GGA).

Cell lengths 3.2912, 3.2912, 7.5155 Å; angles 90.00, 90.00, 90.00 degrees
Sites, in units of the cell vectors:
Ba (0.0000, 0.0000, 0.0000)
Zn (0.5000, 0.5000, 0.3351)
Zn (0.5000, 0.5000, 0.6649)
Ni (0.0000, 0.0000, 0.5000)

For the density, the calculation gives 6667 kg/m³. The density of states at the Fermi level is 3.021 states/eV/f.u. The formation energy comes out at 0.05 eV per atom.

No. 2
Entry from Alexandria via LeMat-Bulk: a relaxed structure of PmGa8Ni2 (PBE-GGA).

Cell lengths 5.6255, 5.6255, 7.7020 Å; angles 90.00, 90.00, 90.00 degrees
Sites, in units of the cell vectors:
Pm (0.0000, 0.0000, 0.0000)
Ga (0.2524, 0.2524, 0.3114)
Ga (0.2524, 0.2524, 0.6886)
Ga (0.2524, 0.7476, 0.3114)
Ga (0.2524, 0.7476, 0.6886)
Ga (0.7476, 0.2524, 0.3114)
Ga (0.7476, 0.2524, 0.6886)
Ga (0.7476, 0.7476, 0.3114)
Ga (0.7476, 0.7476, 0.6886)
Ni (0.0000, 0.5000, 0.5000)
Ni (0.5000, 0.0000, 0.5000)

For the density, the calculation gives 5588 kg/m³. The density of states at the Fermi level is 9.106 states/eV/f.u. The formation energy comes out at -0.06 eV per atom.

No. 3
Entry from Alexandria via LeMat-Bulk: a relaxed structure of CuMo2WSe (PBE-GGA).

Cell lengths 4.9028, 4.9028, 4.7623 Å; angles 90.00, 90.00, 90.00 degrees
Sites, in units of the cell vectors:
Cu (0.0000, 0.0000, 0.0000)
Mo (0.0000, 0.5000, 0.5000)
Mo (0.5000, 0.0000, 0.5000)
W (0.5000, 0.5000, 0.5000)
Se (0.5000, 0.5000, 0.0000)

For the density, the calculation gives 7517 kg/m³. The density of states at the Fermi level is 5.543 states/eV/f.u. For the formation energy without anion corrections, the calculation gives 1753 meV/atom.

No. 4
Entry from Alexandria via LeMat-Bulk: a relaxed structure of Na2CrSnTe4 (PBE-GGA).

Cell lengths 8.6872, 8.6872, 8.6872 Å; angles 121.11, 118.99, 89.92 degrees
Sites, in units of the cell vectors:
Na (0.0000, 0.0000, 0.0000)
Na (0.5000, 0.0000, 0.0000)
Na (0.5000, 0.0000, 0.5000)
Na (0.5000, 0.5000, 0.5000)
Cr (0.0000, 0.0000, 0.5000)
Cr (0.0000, 0.5000, 0.0000)
Sn (0.0000, 0.5000, 0.5000)
Sn (0.5000, 0.5000, 0.0000)
Te (0.2062, 0.7462, 0.4600)
Te (0.2137, 0.2538, 0.9600)
Te (0.2261, 0.2285, 0.5023)
Te (0.2261, 0.7238, 0.9977)
Te (0.7739, 0.2762, 0.0023)
Te (0.7739, 0.7715, 0.4977)
Te (0.7863, 0.7462, 0.0400)
Te (0.7938, 0.2538, 0.5400)

For the density, the calculation gives 5215 kg/m³. The density of states at the Fermi level is 2.101 states/eV/f.u. For the formation energy without anion corrections, the calculation gives -464 meV/atom.

No. 5
Entry from Alexandria via LeMat-Bulk: a relaxed structure of SrMgSb2 (PBE-GGA).

Cell lengths 3.4811, 5.7886, 5.7876 Å; angles 90.00, 90.02, 90.00 degrees
Sites, in units of the cell vectors:
Sr (0.0000, 0.0000, 0.0000)
Mg (0.0553, 0.5000, 0.4972)
Sb (0.4987, 0.0000, 0.5001)
Sb (0.4995, 0.5000, 0.9995)

For the density, the calculation gives 5061 kg/m³. The density of states at the Fermi level is 2.454 states/eV/f.u. For the formation energy without anion corrections, the calculation gives -436 meV/atom.

No. 6
Entry from Alexandria via LeMat-Bulk: a relaxed structure of SrTl2BBr (PBE-GGA).

Cell lengths 6.6438, 6.6438, 5.6789 Å; angles 90.00, 90.00, 90.00 degrees
Sites, in units of the cell vectors:
Sr (0.0000, 0.0000, 0.0000)
Tl (0.0000, 0.5000, 0.0000)
Tl (0.5000, 0.0000, 0.0000)
B (0.5000, 0.5000, 0.5000)
Br (0.0000, 0.0000, 0.5000)

For the density, the calculation gives 3889 kg/m³. The density of states at the Fermi level is 4.372 states/eV/f.u. For the formation energy without anion corrections, the calculation gives 932 meV/atom.